No. 1
Crystalline Np2P2Pt at its relaxed geometry. Source: Alexandria via LeMat-Bulk, functional PBE.

The density of states at the Fermi level is 2.673 states/eV/atom. As for the space group: No. 36. The value obtained for the formation energy is -0.70 eV per atom.

Unit cell a=3.8656 b=5.4934 c=9.3014 alpha=90.00 beta=101.99 gamma=90.00
With the nearest neighbours (Å) after each atom.
Sites, in units of the cell vectors:
Np (0.0125, 0.2630, 0.0249)  2 Np 2.78, 4 P 2.85-2.86
Np (0.1943, 0.5273, 0.3887)  6 P 2.75-2.77
Np (0.8057, 0.0273, 0.6113)  6 P 2.75-2.77
Np (0.9875, 0.7630, 0.9751)  2 Np 2.78, 4 P 2.85-2.86
P (0.5856, 0.5611, 0.1711)  1 Pt 2.42
P (0.1971, 0.0275, 0.3941)  2 Pt 2.40
P (0.8029, 0.5275, 0.6059)  2 Pt 2.40
P (0.4144, 0.0611, 0.8289)  1 Pt 2.42
Pt (0.6195, 0.9867, 0.2391)  3 P 2.40-2.42
Pt (0.3805, 0.4867, 0.7609)  3 P 2.40-2.42

No. 2
Crystalline Np2P3Pt9 at its relaxed geometry. Source: Alexandria via LeMat-Bulk, functional PBE.

The density of states at the Fermi level is 1.541 states/eV/atom. As for the space group: No. 15. The value obtained for the formation energy is -0.47 eV per atom.

Unit cell a=8.2861 b=8.2861 c=9.0972 alpha=96.62 beta=113.25 gamma=116.10
With the nearest neighbours (Å) after each atom.
Sites, in units of the cell vectors:
Np (0.3234, 0.2856, 0.7031)  8 Pt 2.85-3.07, 4 P 2.91-3.05
Np (0.6766, 0.7144, 0.2969)  8 Pt 2.85-3.07, 4 P 2.91-3.05
Np (0.0825, 0.6203, 0.7969)  8 Pt 2.85-3.07, 4 P 2.91-3.05
Np (0.9175, 0.3797, 0.2031)  8 Pt 2.85-3.07, 4 P 2.91-3.05
P (0.5000, 0.0000, 0.0000)  6 Pt 2.44-2.53
P (0.5000, 0.5000, 0.5000)  6 Pt 2.44-2.53
P (0.9442, 0.2813, 0.5102)  5 Pt 2.34-2.52
P (0.0558, 0.7187, 0.4898)  5 Pt 2.34-2.52
P (0.2711, 0.4339, 0.9898)  5 Pt 2.34-2.52
P (0.7289, 0.5661, 0.0102)  5 Pt 2.34-2.52
Pt (0.3986, 0.9656, 0.7002)  2 P 2.37-2.45
Pt (0.6014, 0.0344, 0.2998)  2 P 2.37-2.45
Pt (0.7654, 0.6984, 0.7998)  2 P 2.37-2.45
Pt (0.2346, 0.3016, 0.2002)  2 P 2.37-2.45
Pt (0.5177, 0.7137, 0.9484)  3 P 2.44-2.52
Pt (0.4823, 0.2863, 0.0516)  3 P 2.44-2.52
Pt (0.2653, 0.5693, 0.5516)  3 P 2.44-2.52
Pt (0.7347, 0.4307, 0.4484)  3 P 2.44-2.52
Pt (0.9505, 0.2005, 0.7500)  2 P 2.34
Pt (0.0495, 0.7995, 0.2500)  2 P 2.34
Pt (0.2078, 0.9483, 0.0558)  1 P 2.53, 3 Pt 2.70-2.82
Pt (0.7922, 0.0517, 0.9442)  1 P 2.53, 3 Pt 2.70-2.82
Pt (0.3925, 0.1520, 0.4442)  1 P 2.53, 3 Pt 2.70-2.82
Pt (0.6075, 0.8480, 0.5558)  1 P 2.53, 3 Pt 2.70-2.82
Pt (0.0141, 0.9108, 0.6663)  1 P 2.36
Pt (0.9859, 0.0892, 0.3337)  1 P 2.36
Pt (0.7445, 0.3478, 0.8337)  1 P 2.36
Pt (0.2555, 0.6522, 0.1663)  1 P 2.36

Number 1: calculated total energy -92.5 eV per cell, volume 19.32 Å³ per atom. Number 2: calculated total energy -206.1 eV per cell, volume 17.24 Å³ per atom.